# 1
Below is a relaxed structure of In2RhPbCl, with properties calculated at the PBE level.

Calculated values
- E: -4.12 eV/atom
- Formation energy from raw total energies: -0.441 eV/atom

Unit cell a=5.1975 b=5.1975 c=5.2178 alpha=90.00 beta=90.00 gamma=90.00
Space group P4/mmm (No. 123)
Symmetry-distinct sites (fractional):
In  0.0000  0.5000  0.0000 (multiplicity 2)
Rh  0.0000  0.0000  0.0000 (multiplicity 1)
Pb  0.0000  0.0000  0.5000 (multiplicity 1)
Cl  0.5000  0.5000  0.5000 (multiplicity 1)



# 2
Below is a relaxed structure of Y2ScPb, with properties calculated at the PBE level.

Calculated values
- E: -5.65 eV/atom
- ΔH_f (0 K): 94 meV per atom

Unit cell a=5.1592 b=5.1592 c=16.8288 alpha=90.00 beta=90.00 gamma=120.00
Space group R3m (No. 160, hexagonal axes)
Symmetry-distinct sites (fractional):
Y  0.0000  0.0000  0.0000 (multiplicity 3)
Y  0.0000  0.0000  0.2122 (multiplicity 3)
Sc  0.0000  0.0000  0.7818 (multiplicity 3)
Pb  0.0000  0.0000  0.5891 (multiplicity 3)



# 3
Below is a relaxed structure of Nd5CdIn6, with properties calculated at the PBE level.

Calculated values
- E: -3.86 eV/atom
- ΔH_f (0 K): -425 meV per atom

Unit cell a=4.9386 b=9.0765 c=15.1263 alpha=90.00 beta=90.00 gamma=90.00
Space group Immm (No. 71)
Symmetry-distinct sites (fractional):
Nd  0.0000  0.0000  0.0000 (multiplicity 2)
Nd  0.0000  0.0000  0.3490 (multiplicity 4)
Nd  0.0000  0.5000  0.3311 (multiplicity 4)
Cd  0.0000  0.5000  0.0000 (multiplicity 2)
In  0.0000  0.2485  0.1697 (multiplicity 8)
In  0.0000  0.2532  0.5000 (multiplicity 4)



# 4
Below is a relaxed structure of KRe4Au, with properties calculated at the PBE level.

Calculated values
- E: -7.95 eV/atom
- ΔH_f (0 K): 1083 meV per atom

Unit cell a=7.5692 b=7.5692 c=7.5692 alpha=90.00 beta=90.00 gamma=90.00
Space group F-43m (No. 216)
Symmetry-distinct sites (fractional):
K  0.0000  0.0000  0.0000 (multiplicity 4)
Re  0.1245  0.1245  0.6245 (multiplicity 16)
Au  0.2500  0.2500  0.2500 (multiplicity 4)



| no. | magnetic moment (μB/f.u.) |
| --- | --- |
| 1 | 0.0 |
| 2 | 0.0 |
| 3 | 0.0 |
| 4 | 0.0 |